Record 1
Density functional theory data (GGA-PBE) for a relaxed structure of TbAgO.

a b c (Å): 4.309 8.479 7.401
angles (deg): 90.00 106.85 90.00
Space group C2/m (No. 12)
Asymmetric unit:
1 Tb 0.152 0.000 0.304
2 Ag 0.000 0.339 0.000
3 O 0.194 0.500 0.387

Magnetic moment, μB per formula unit: 0.00
Uncorrected formation energy, eV per atom: -1.673
Calculated density, g/cm3: 7.3
N(E_F), states/eV per cell: 3.22
Volume, Å³/atom: 21.57
Energy, eV per cell: -69.8

Record 2
Density functional theory data (GGA-PBE) for a relaxed structure of Ba2AlGePd6.

a b c (Å): 12.390 5.856 8.153
angles (deg): 90.00 130.56 90.00
Space group C2/m (No. 12)
Asymmetric unit:
1 Ba 0.246 0.000 0.195
2 Al 0.000 0.500 0.000
3 Ge 0.000 0.000 0.500
4 Pd 0.029 0.256 0.285
5 Pd 0.249 0.500 0.369

Magnetic moment, μB per formula unit: 0.00
Calculated density, g/cm3: 7.5
N(E_F), states/eV per cell: 5.76
Volume, Å³/atom: 22.47
Energy, eV per cell: -99.1
Energy of formation, eV/atom: -0.620

Record 3
Density functional theory data (GGA-PBE) for a relaxed structure of Li2YGe2.

a b c (Å): 7.830 7.830 2.931
angles (deg): 90.00 90.00 90.00
Space group P4/mbm (No. 127)
Asymmetric unit:
1 Li 0.113 0.387 0.000
2 Y 0.000 0.000 0.000
3 Ge 0.181 0.681 0.500

Magnetic moment, μB per formula unit: 0.00
Calculated density, g/cm3: 4.6
N(E_F), states/eV per cell: 4.26
Volume, Å³/atom: 17.97
Energy, eV per cell: -43.1
Energy of formation, eV/atom: -0.408

Record 4
Density functional theory data (GGA-PBE) for a relaxed structure of CaHgI2.

a b c (Å): 9.450 9.450 8.531
angles (deg): 90.00 90.00 90.00
Space group I-42d (No. 122)
Asymmetric unit:
1 Ca 0.000 0.000 0.000
2 Hg 0.000 0.000 0.500
3 I 0.167 0.250 0.125

Magnetic moment, μB per formula unit: 0.00
Uncorrected formation energy, eV per atom: -1.046
Calculated density, g/cm3: 4.3
N(E_F), states/eV per cell: 0.00
Volume, Å³/atom: 47.62
Energy, eV per cell: -38.3

Record 5
Density functional theory data (GGA-PBE) for a relaxed structure of ZrIrW3.

a b c (Å): 4.761 4.761 4.761
angles (deg): 90.00 90.00 90.00
Space group Pm-3m (No. 221)
Asymmetric unit:
1 Zr 0.000 0.000 0.000
2 Ir 0.500 0.500 0.500
3 W 0.000 0.500 0.500

Magnetic moment, μB per formula unit: 0.00
Calculated density, g/cm3: 12.8
N(E_F), states/eV per cell: 6.36
Volume, Å³/atom: 21.59
Energy, eV per cell: -48.7
Energy of formation, eV/atom: 1.520

Record 6
Density functional theory data (GGA-PBE) for a relaxed structure of SmErGaNi.

a b c (Å): 4.337 3.778 10.905
angles (deg): 90.00 90.00 90.00
Space group Amm2 (No. 38)
Asymmetric unit:
1 Sm 0.000 0.000 0.000
2 Er 0.500 0.000 0.714
3 Ga 0.500 0.000 0.422
4 Ni 0.000 0.000 0.285

Magnetic moment, μB per formula unit: 0.00
Calculated density, g/cm3: 8.3
N(E_F), states/eV per cell: 7.85
Volume, Å³/atom: 22.34
Energy, eV per cell: -39.9
Energy of formation, eV/atom: -0.469

Please write out number 5 again, unchanged.
Density functional theory data (GGA-PBE) for a relaxed structure of ZrIrW3.

a b c (Å): 4.761 4.761 4.761
angles (deg): 90.00 90.00 90.00
Space group Pm-3m (No. 221)
Asymmetric unit:
1 Zr 0.000 0.000 0.000
2 Ir 0.500 0.500 0.500
3 W 0.000 0.500 0.500

Magnetic moment, μB per formula unit: 0.00
Calculated density, g/cm3: 12.8
N(E_F), states/eV per cell: 6.36
Volume, Å³/atom: 21.59
Energy, eV per cell: -48.7
Energy of formation, eV/atom: 1.520